Record 1
{
  "formula": "FeGe",
  "functional": "meta-GGA SCAN",
  "state": "single point on PBEsol structure",
  "lattice": [[4.890, 0.000, 0.000], [-2.445, 4.235, 0.000], [0.000, 0.000, 3.967]],
  "species": ["Fe", "Fe", "Fe", "Ge", "Ge", "Ge"],
  "fractional_positions": [[0.000, 0.500, 0.000], [0.500, 0.000, 0.000], [0.500, 0.500, 0.000], [0.000, 0.000, 0.000], [0.333, 0.667, 0.500], [0.667, 0.333, 0.500]],
  "total_energy_ev_per_atom": -18.71,
  "formation_energy_kj_per_mol_atoms": -9.76
}

Record 2
{
  "formula": "Fe6Ge5",
  "functional": "meta-GGA SCAN",
  "state": "single point on PBEsol structure",
  "lattice": [[4.885, -3.835, 0.000], [4.885, 3.835, 0.000], [-2.604, 0.000, 7.161]],
  "species": ["Fe", "Fe", "Fe", "Fe", "Fe", "Fe", "Fe", "Fe", "Fe", "Fe", "Fe", "Fe", "Ge", "Ge", "Ge", "Ge", "Ge", "Ge", "Ge", "Ge", "Ge", "Ge"],
  "fractional_positions": [[0.000, 0.500, 0.000], [0.045, 0.519, 0.675], [0.080, 0.080, 0.782], [0.246, 0.754, 0.000], [0.375, 0.375, 0.480], [0.481, 0.955, 0.325], [0.500, 0.000, 0.000], [0.519, 0.045, 0.675], [0.625, 0.625, 0.520], [0.754, 0.246, 0.000], [0.920, 0.920, 0.218], [0.955, 0.481, 0.325], [0.135, 0.135, 0.493], [0.158, 0.158, 0.131], [0.259, 0.656, 0.288], [0.344, 0.741, 0.712], [0.350, 0.350, 0.900], [0.650, 0.650, 0.100], [0.656, 0.259, 0.288], [0.741, 0.344, 0.712], [0.842, 0.842, 0.869], [0.865, 0.865, 0.507]],
  "total_energy_ev_per_atom": -18.63,
  "formation_energy_kj_per_mol_atoms": -6.32
}

Record 3
{
  "formula": "Fe7Ge4",
  "functional": "meta-GGA SCAN",
  "state": "single point on PBEsol structure",
  "lattice": [[7.888, 0.000, 0.000], [-3.944, 6.831, 0.000], [0.000, 0.000, 4.847]],
  "species": ["Fe", "Fe", "Fe", "Fe", "Fe", "Fe", "Fe", "Fe", "Fe", "Fe", "Fe", "Fe", "Fe", "Fe", "Ge", "Ge", "Ge", "Ge", "Ge", "Ge", "Ge", "Ge"],
  "fractional_positions": [[0.000, 0.000, 0.000], [0.000, 0.000, 0.500], [0.000, 0.500, 0.000], [0.000, 0.500, 0.500], [0.161, 0.322, 0.250], [0.161, 0.839, 0.250], [0.322, 0.161, 0.750], [0.500, 0.000, 0.000], [0.500, 0.000, 0.500], [0.500, 0.500, 0.000], [0.500, 0.500, 0.500], [0.678, 0.839, 0.250], [0.839, 0.161, 0.750], [0.839, 0.678, 0.750], [0.188, 0.376, 0.750], [0.188, 0.812, 0.750], [0.333, 0.667, 0.250], [0.376, 0.188, 0.250], [0.624, 0.812, 0.750], [0.667, 0.333, 0.750], [0.812, 0.188, 0.250], [0.812, 0.624, 0.250]],
  "total_energy_ev_per_atom": -18.56,
  "formation_energy_kj_per_mol_atoms": -7.98,
  "polymorph_energy_mev_per_atom": 0
}

Record 4
{
  "formula": "Fe7Ge4",
  "functional": "meta-GGA SCAN",
  "state": "single point on PBEsol structure",
  "lattice": [[3.997, 0.000, 0.000], [-1.999, 3.462, 0.000], [0.000, 0.000, 9.739]],
  "species": ["Fe", "Fe", "Fe", "Fe", "Fe", "Fe", "Fe", "Ge", "Ge", "Ge", "Ge"],
  "fractional_positions": [[0.000, 0.000, 0.000], [0.333, 0.667, 0.260], [0.333, 0.667, 0.740], [0.667, 0.333, 0.123], [0.667, 0.333, 0.376], [0.667, 0.333, 0.624], [0.667, 0.333, 0.877], [0.000, 0.000, 0.254], [0.000, 0.000, 0.746], [0.333, 0.667, 0.000], [0.333, 0.667, 0.500]],
  "total_energy_ev_per_atom": -18.55,
  "formation_energy_kj_per_mol_atoms": -7.15,
  "polymorph_energy_mev_per_atom": 9
}